Entry 1:
A plane-wave DFT calculation with GGA-PBE was carried out for a relaxed structure of TiV3Br.

Unit cell a=4.4468 b=4.4468 c=4.4468 alpha=90.00 beta=90.00 gamma=90.00
Last column: nearest neighbours and their distance in Å.
Element x y z (fractional)
1 Ti 0.0000 0.0000 0.0000  12 V 3.14
2 V 0.0000 0.5000 0.5000  2 Br 2.22
3 V 0.5000 0.0000 0.5000  2 Br 2.22
4 V 0.5000 0.5000 0.0000  2 Br 2.22
5 Br 0.5000 0.5000 0.5000  6 V 2.22

## Properties
Space group: Pm-3m (221)
Formation energy from raw total energies: 0.943 eV/atom
Density: 5.30 g/cm³
E above lowest polymorph: 0.000 eV per atom
Crystal system: cubic
Energy: -32.2 eV per cell
Spin magnetization: 0.0 μB per formula unit

=====

Entry 2:
A plane-wave DFT calculation with GGA-PBE was carried out for a relaxed structure of CrHg2Ir.

Unit cell a=4.1794 b=4.1794 c=8.1335 alpha=90.00 beta=90.00 gamma=90.00
Last column: nearest neighbours and their distance in Å.
Element x y z (fractional)
1 Cr 0.0000 0.0000 0.0000  8 Hg 2.92, 4 Ir 2.96
2 Cr 0.5000 0.5000 0.5000  8 Hg 2.92, 4 Ir 2.96
3 Hg 0.0000 0.5000 0.2500  4 Cr 2.92, 4 Ir 2.92, 4 Hg 2.96
4 Hg 0.0000 0.5000 0.7500  4 Cr 2.92, 4 Ir 2.92, 4 Hg 2.96
5 Hg 0.5000 0.0000 0.2500  4 Cr 2.92, 4 Ir 2.92, 4 Hg 2.96
6 Hg 0.5000 0.0000 0.7500  4 Cr 2.92, 4 Ir 2.92, 4 Hg 2.96
7 Ir 0.0000 0.0000 0.5000  8 Hg 2.92, 4 Cr 2.96
8 Ir 0.5000 0.5000 0.0000  8 Hg 2.92, 4 Cr 2.96

## Properties
Space group: I4/mmm (139)
Density: 15.09 g/cm³
E above lowest polymorph: 0.204 eV per atom
Crystal system: tetragonal
Calculated formation energy: 1.70 eV/f.u.
Energy: -34.8 eV per cell
Spin magnetization: 3.9 μB per formula unit

=====

Entry 3:
A plane-wave DFT calculation with GGA-PBE was carried out for a relaxed structure of Hf2CrHg.

Unit cell a=3.2694 b=3.2694 c=7.1258 alpha=90.00 beta=90.00 gamma=90.00
Last column: nearest neighbours and their distance in Å.
Element x y z (fractional)
1 Hf 0.0000 0.0000 0.2120  4 Cr 2.76, 1 Hf 3.02, 4 Hg 3.09
2 Hf 0.0000 0.0000 0.7880  4 Cr 2.76, 1 Hf 3.02, 4 Hg 3.09
3 Cr 0.5000 0.5000 0.0000  8 Hf 2.76
4 Hg 0.5000 0.5000 0.5000  8 Hf 3.09, 4 Hg 3.27

## Properties
Space group: P4/mmm (123)
Density: 13.29 g/cm³
Crystal system: tetragonal
Calculated formation energy: -0.10 eV/f.u.
Energy: -29.9 eV per cell
Spin magnetization: 0.0 μB per formula unit